Record 1
Entry from Alexandria via LeMat-Bulk: a geometry-optimized KCrCuSe2 structure (PBE-GGA).

Cell lengths 5.5156, 6.2819, 7.8411 Å; angles 113.61, 90.00, 90.00 degrees
With the nearest neighbours (Å) after each atom.
Atoms (fractional coordinates):
K 0.7731 0.2500 0.5000  4 Se 3.30-3.46
K 0.2269 0.7500 0.5000  4 Se 3.30-3.46
Se 0.2899 0.3859 0.7718  1 Cu 2.29, 2 Cr 2.55
Se 0.7101 0.8859 0.7718  1 Cu 2.29, 2 Cr 2.55
Se 0.7101 0.6141 0.2282  1 Cu 2.29, 2 Cr 2.55
Se 0.2899 0.1141 0.2282  1 Cu 2.29, 2 Cr 2.55
Cu 0.0000 0.5000 0.0000  2 Se 2.29
Cu 0.0000 0.0000 0.0000  2 Se 2.29
Cr 0.5000 0.2500 0.0000  4 Se 2.55
Cr 0.5000 0.7500 0.0000  4 Se 2.55

Calculated values
- Raw formation energy: -0.508 eV/atom
- Volume: 24.9 A^3/atom

---

Record 2
Entry from Alexandria via LeMat-Bulk: a geometry-optimized Sb4Cl2O5 structure (PBE-GGA).

Cell lengths 5.2246, 6.3803, 13.8200 Å; angles 84.10, 90.00, 90.00 degrees
With the nearest neighbours (Å) after each atom.
Atoms (fractional coordinates):
O 0.8213 0.0743 0.2899  2 Sb 2.00-2.10
O 0.5000 0.0000 0.0000  2 Sb 1.94
O 0.0000 0.0000 0.5000  2 Sb 1.94
O 0.3213 0.9257 0.2101  2 Sb 2.00-2.10
O 0.9918 0.0702 0.0812  3 Sb 2.04-2.17
O 0.6787 0.0743 0.7899  2 Sb 2.00-2.10
O 0.4918 0.9298 0.4188  3 Sb 2.04-2.17
O 0.0082 0.9298 0.9188  3 Sb 2.04-2.17
O 0.5082 0.0702 0.5812  3 Sb 2.04-2.17
O 0.1787 0.9257 0.7101  2 Sb 2.00-2.10
Sb 0.9004 0.7978 0.7964  3 O 2.00-2.10
Sb 0.2222 0.8161 0.0482  3 O 1.94-2.17
Sb 0.4004 0.2022 0.7036  3 O 2.00-2.10
Sb 0.0996 0.2022 0.2036  3 O 2.00-2.10
Sb 0.2778 0.8161 0.5482  3 O 1.94-2.17
Sb 0.5996 0.7978 0.2964  3 O 2.00-2.10
Sb 0.7222 0.1839 0.4518  3 O 1.94-2.17
Sb 0.7778 0.1839 0.9518  3 O 1.94-2.17
Cl 0.2141 0.5100 0.3830  2 Sb 2.90-3.17, 1 O 3.13
Cl 0.7859 0.4900 0.6170  2 Sb 2.90-3.17, 1 O 3.13
Cl 0.7141 0.4900 0.1170  2 Sb 2.90-3.17, 1 O 3.13
Cl 0.2859 0.5100 0.8830  2 Sb 2.90-3.17, 1 O 3.13

Calculated values
- Raw formation energy: -1.263 eV/atom
- Volume: 20.8 A^3/atom

---

The lowest volume belongs to which entry? Sb4Cl2O5

---

The lowest raw formation energy belongs to which entry? Sb4Cl2O5